Record 1
Entry from the Alexandria database: a relaxed Ba2SrSbO crystal (GGA-PBE).

Summary:
Fermi-level density of states: 2.85 states/eV per cell
Total magnetization: 0.000 μB/f.u.
Uncorrected formation energy: -7.496 eV/f.u.

abc: 5.5396 5.5396 5.0764
angles: 90.00 90.00 90.00
Closest atoms and distances in Å follow each position.
Atoms (fractional coordinates):
1 Sb 0.5000 0.5000 0.5000  8 Ba 3.76, 4 Sr 3.92
2 Ba 0.0000 0.5000 0.0000  2 O 2.77
3 Ba 0.5000 0.0000 0.0000  2 O 2.77
4 O 0.0000 0.0000 0.0000  2 Sr 2.54, 4 Ba 2.77
5 Sr 0.0000 0.0000 0.5000  2 O 2.54

***

Record 2
Entry from the Alexandria database: a relaxed BaSr2SbO crystal (GGA-PBE).

Summary:
Fermi-level density of states: 2.64 states/eV per cell
Total magnetization: 0.000 μB/f.u.
Uncorrected formation energy: -7.525 eV/f.u.

abc: 5.1507 5.1507 5.5448
angles: 90.00 90.00 90.00
Closest atoms and distances in Å follow each position.
Atoms (fractional coordinates):
1 Sb 0.5000 0.5000 0.5000  4 Ba 3.64, 8 Sr 3.78
2 Ba 0.0000 0.0000 0.5000  2 O 2.77
3 O 0.0000 0.0000 0.0000  4 Sr 2.58, 2 Ba 2.77
4 Sr 0.0000 0.5000 0.0000  2 O 2.58
5 Sr 0.5000 0.0000 0.0000  2 O 2.58

***

Record 3
Entry from the Alexandria database: a relaxed Ba3SrSb2O9 crystal (GGA-PBE).

Summary:
Fermi-level density of states: 0.00 states/eV per cell
Offset from the most stable computed form: 0 meV/atom
Total magnetization: 0.000 μB/f.u.
Uncorrected formation energy: -34.581 eV/f.u.

abc: 6.1697 6.1954 15.3659
angles: 90.71 92.11 119.58
Closest atoms and distances in Å follow each position.
Atoms (fractional coordinates):
1 Ba 0.3096 0.6428 0.4081  5 O 2.68-3.00
2 Ba 0.6904 0.3572 0.5919  5 O 2.68-3.00
3 Ba 0.6524 0.3312 0.9017  6 O 2.74-2.97
4 Ba 0.9801 0.9972 0.2506  5 O 2.68-2.92
5 Ba 0.0199 0.0028 0.7494  5 O 2.68-2.92
6 Ba 0.3476 0.6688 0.0983  6 O 2.74-2.97
7 Sr 0.0000 0.0000 0.0000  6 O 2.39-2.49
8 Sr 0.0000 0.0000 0.5000  6 O 2.44
9 Sb 0.3008 0.6418 0.8442  6 O 1.96-2.16
10 Sb 0.6382 0.3085 0.3434  6 O 1.96-2.16
11 Sb 0.3618 0.6915 0.6566  6 O 1.96-2.16
12 Sb 0.6992 0.3582 0.1558  6 O 1.96-2.16
13 O 0.1966 0.4110 0.5716  1 Sb 1.97
14 O 0.8752 0.2025 0.1038  1 Sb 1.96
15 O 0.2740 0.9128 0.5933  1 Sb 1.96
16 O 0.8034 0.5890 0.4284  1 Sb 1.97
17 O 0.5696 0.7464 0.9343  1 Sb 1.96
18 O 0.4489 0.4950 0.7546  2 Sb 2.11-2.16
19 O 0.9154 0.6880 0.1100  1 Sb 1.97
20 O 0.4304 0.2536 0.0657  1 Sb 1.96
21 O 0.0846 0.3120 0.8900  1 Sb 1.97
22 O 0.6950 0.8193 0.6117  1 Sb 1.96
23 O 0.1248 0.7975 0.8962  1 Sb 1.96
24 O 0.0509 0.5497 0.7304  2 Sb 2.06-2.16
25 O 0.5511 0.5050 0.2454  2 Sb 2.11-2.16
26 O 0.9491 0.4503 0.2696  2 Sb 2.06-2.16
27 O 0.7260 0.0872 0.4067  1 Sb 1.96
28 O 0.3050 0.1807 0.3883  1 Sb 1.96
29 O 0.5014 0.0551 0.2340  2 Sb 2.09-2.13
30 O 0.4986 0.9449 0.7660  2 Sb 2.09-2.13

***

Record 4
Entry from the Alexandria database: a relaxed Ba3SrSb2O9 crystal (GGA-PBE).

Summary:
Offset from the most stable computed form: 42 meV/atom
Total magnetization: 0.000 μB/f.u.
Uncorrected formation energy: -33.946 eV/f.u.

abc: 6.0391 6.0391 7.5617
angles: 90.00 90.00 120.00
Closest atoms and distances in Å follow each position.
Atoms (fractional coordinates):
1 Ba 0.3333 0.6667 0.6735  12 O 3.02-3.24
2 Ba 0.0000 0.0000 0.0000  12 O 2.95-3.02
3 Ba 0.6667 0.3333 0.3265  12 O 3.02-3.24
4 Sr 0.0000 0.0000 0.5000  6 O 2.37
5 Sb 0.3333 0.6667 0.1624  6 O 1.95-2.13
6 Sb 0.6667 0.3333 0.8376  6 O 1.95-2.13
7 O 0.8230 0.1770 0.6965  1 Sb 1.95
8 O 0.8230 0.6460 0.6965  1 Sb 1.95
9 O 0.3540 0.1770 0.6965  1 Sb 1.95
10 O 0.6460 0.8230 0.3035  1 Sb 1.95
11 O 0.1770 0.3540 0.3035  1 Sb 1.95
12 O 0.1770 0.8230 0.3035  1 Sb 1.95
13 O 0.5000 0.0000 0.0000  2 Sb 2.13
14 O 0.0000 0.5000 0.0000  2 Sb 2.13
15 O 0.5000 0.5000 0.0000  2 Sb 2.13

***

Record 5
Entry from the Alexandria database: a relaxed Ba2SrSb2O6 crystal (GGA-PBE).

Summary:
Fermi-level density of states: 2.60 states/eV per cell
Total magnetization: 0.000 μB/f.u.
Uncorrected formation energy: -20.999 eV/f.u.

abc: 6.8415 6.4207 6.9342
angles: 114.62 90.00 122.19
Closest atoms and distances in Å follow each position.
Atoms (fractional coordinates):
1 Ba 0.6908 0.3816 0.1712  3 O 2.67-2.71
2 Ba 0.3092 0.6184 0.8288  3 O 2.67-2.71
3 Sr 0.5000 0.0000 0.5000  6 O 2.49-2.57
4 Sb 0.9688 0.9376 0.7683  3 O 1.96-2.04
5 Sb 0.0312 0.0624 0.2317  3 O 1.96-2.04
6 O 0.7618 0.5237 0.6041  1 Sb 1.96
7 O 0.2315 0.9083 0.1880  1 Sb 2.04
8 O 0.3232 0.0917 0.8120  1 Sb 2.04
9 O 0.7685 0.0917 0.8120  1 Sb 2.04
10 O 0.6768 0.9083 0.1880  1 Sb 2.04
11 O 0.2382 0.4763 0.3959  1 Sb 1.96

***

Record 6
Entry from the Alexandria database: a relaxed BaSrTbSbO6 crystal (GGA-PBE).

Summary:
Fermi-level density of states: 0.00 states/eV per cell
Total magnetization: 0.000 μB/f.u.
Uncorrected formation energy: -26.460 eV/f.u.

abc: 5.9969 5.9969 5.9969
angles: 60.00 60.00 60.00
Closest atoms and distances in Å follow each position.
Atoms (fractional coordinates):
1 Ba 0.2500 0.2500 0.2500  12 O 3.00
2 Sr 0.7500 0.7500 0.7500  12 O 3.00
3 Tb 0.5000 0.5000 0.5000  6 O 2.23
4 Sb 0.0000 0.0000 0.0000  6 O 2.01
5 O 0.2366 0.7634 0.2366  1 Sb 2.01, 1 Tb 2.23
6 O 0.7634 0.2366 0.7634  1 Sb 2.01, 1 Tb 2.23
7 O 0.2366 0.7634 0.7634  1 Sb 2.01, 1 Tb 2.23
8 O 0.7634 0.2366 0.2366  1 Sb 2.01, 1 Tb 2.23
9 O 0.2366 0.2366 0.7634  1 Sb 2.01, 1 Tb 2.23
10 O 0.7634 0.7634 0.2366  1 Sb 2.01, 1 Tb 2.23